1.
An optimized crystal structure of In3PtCl, computed with PBEsol.

Output
As for the symmetry: Pm-3m. As for the formation energy from raw total energies: -0.530 eV/atom. The crystal system is cubic. The density of states at the Fermi level comes out at 0.05 states/eV per atom.

```
data_In3PtCl
_chemical_formula_sum 'In3 Pt1 Cl1'
_cell_length_a 5.1208
_cell_length_b 5.1208
_cell_length_c 5.1208
_cell_angle_alpha 90.00
_cell_angle_beta 90.00
_cell_angle_gamma 90.00
_space_group_name_H-M_alt 'P 1'
_space_group_IT_number 1
loop_
_space_group_symop_operation_xyz
'x,y,z'
loop_
_atom_site_label
_atom_site_type_symbol
_atom_site_fract_x
_atom_site_fract_y
_atom_site_fract_z
In1 In 0.0000 0.0000 0.5000
In2 In 0.0000 0.5000 0.0000
In3 In 0.5000 0.0000 0.0000
Pt1 Pt 0.0000 0.0000 0.0000
Cl1 Cl 0.5000 0.5000 0.5000
```

2.
An optimized crystal structure of Mn5Co24, computed with PBEsol.

Output
As for the symmetry: I-43m. Its formation energy is 52 meV/atom. The crystal system is cubic. The density of states at the Fermi level comes out at 0.95 states/eV per atom.

```
data_Mn5Co24
_chemical_formula_sum 'Mn5 Co24'
_cell_length_a 7.4281
_cell_length_b 7.4281
_cell_length_c 7.4281
_cell_angle_alpha 109.47
_cell_angle_beta 109.47
_cell_angle_gamma 109.47
_space_group_name_H-M_alt 'P 1'
_space_group_IT_number 1
loop_
_space_group_symop_operation_xyz
'x,y,z'
loop_
_atom_site_label
_atom_site_type_symbol
_atom_site_fract_x
_atom_site_fract_y
_atom_site_fract_z
Mn1 Mn 0.0000 0.0000 0.0000
Mn2 Mn 0.0000 0.0000 0.3682
Mn3 Mn 0.0000 0.3682 0.0000
Mn4 Mn 0.3682 0.0000 0.0000
Mn5 Mn 0.6318 0.6318 0.6318
Co1 Co 0.0000 0.3206 0.6053
Co2 Co 0.0000 0.6053 0.3206
Co3 Co 0.0000 0.6259 0.8083
Co4 Co 0.0000 0.8083 0.6259
Co5 Co 0.1824 0.3741 0.3741
Co6 Co 0.1917 0.1917 0.8176
Co7 Co 0.1917 0.8176 0.1917
Co8 Co 0.2847 0.6794 0.6794
Co9 Co 0.3206 0.0000 0.6053
Co10 Co 0.3206 0.6053 0.0000
Co11 Co 0.3741 0.1824 0.3741
Co12 Co 0.3741 0.3741 0.1824
Co13 Co 0.3947 0.3947 0.7153
Co14 Co 0.3947 0.7153 0.3947
Co15 Co 0.6053 0.0000 0.3206
Co16 Co 0.6053 0.3206 0.0000
Co17 Co 0.6259 0.0000 0.8083
Co18 Co 0.6259 0.8083 0.0000
Co19 Co 0.6794 0.2847 0.6794
Co20 Co 0.6794 0.6794 0.2847
Co21 Co 0.7153 0.3947 0.3947
Co22 Co 0.8083 0.0000 0.6259
Co23 Co 0.8083 0.6259 0.0000
Co24 Co 0.8176 0.1917 0.1917
```

3.
An optimized crystal structure of Sc2TlZn, computed with PBEsol.

Output
As for the symmetry: P4/mmm. Its formation energy is -381 meV/atom. The crystal system is tetragonal. The density of states at the Fermi level comes out at 0.84 states/eV per atom.

```
data_Sc2TlZn
_chemical_formula_sum 'Sc2 Tl1 Zn1'
_cell_length_a 3.4083
_cell_length_b 3.4083
_cell_length_c 6.8786
_cell_angle_alpha 90.00
_cell_angle_beta 90.00
_cell_angle_gamma 90.00
_space_group_name_H-M_alt 'P 1'
_space_group_IT_number 1
loop_
_space_group_symop_operation_xyz
'x,y,z'
loop_
_atom_site_label
_atom_site_type_symbol
_atom_site_fract_x
_atom_site_fract_y
_atom_site_fract_z
Sc1 Sc 0.0000 0.0000 0.2278
Sc2 Sc 0.0000 0.0000 0.7722
Tl1 Tl 0.5000 0.5000 0.5000
Zn1 Zn 0.5000 0.5000 0.0000
```

Number 1: E_tot -20.6 eV per cell. Number 2: E_tot -233.0 eV per cell. Number 3: E_tot -18.9 eV per cell.